This record from Alexandria describes a relaxed Li2ZrSb crystal. The functional is PBE.

Cell lengths 4.1504, 4.1504, 4.5860 Å; angles 90.00, 90.00, 90.00 degrees
With the nearest neighbours (Å) after each atom.
Space group P4/mmm (No. 123)
Unique sites:
Li (0.0000, 0.5000, 0.0000)  4 Li 2.93, 4 Zr 3.09, 4 Sb 3.09
Zr (0.0000, 0.0000, 0.5000)  4 Sb 2.93, 8 Li 3.09
Sb (0.5000, 0.5000, 0.5000)  4 Zr 2.93, 8 Li 3.09

Results
Crystal system: tetragonal
E_form (uncorrected) in eV per atom: -0.36

---

This record from Alexandria describes a relaxed Rb2BiTeRh crystal. The functional is PBE.

Cell lengths 7.1862, 7.1862, 5.8149 Å; angles 90.00, 90.00, 90.00 degrees
With the nearest neighbours (Å) after each atom.
Space group P4/mmm (No. 123)
Unique sites:
Rb (0.0000, 0.5000, 0.0000)  2 Bi 3.59
Bi (0.0000, 0.0000, 0.0000)  2 Te 2.91
Te (0.0000, 0.0000, 0.5000)  2 Bi 2.91
Rh (0.5000, 0.5000, 0.5000)  8 Rb 4.62, 4 Te 5.08

Results
Crystal system: tetragonal
E_form (uncorrected) in eV per atom: 0.83

---

This record from Alexandria describes a relaxed CoCuRh2 crystal. The functional is PBE.

Cell lengths 5.4151, 7.2237, 2.6817 Å; angles 90.00, 90.00, 90.00 degrees
With the nearest neighbours (Å) after each atom.
Space group Cmmm (No. 65)
Unique sites:
Co (0.0000, 0.0000, 0.0000)  8 Rh 2.63, 2 Co 2.68, 2 Cu 2.71
Cu (0.0000, 0.5000, 0.0000)  8 Rh 2.63, 2 Cu 2.68, 2 Co 2.71
Rh (0.2500, 0.2500, 0.5000)  4 Cu 2.63, 4 Co 2.63, 4 Rh 2.68-2.71

Results
Polymorph energy (0 for the lowest one) in kJ/mol of atoms: 8.38
Crystal system: orthorhombic
Energy of formation in eV per formula unit: 0.47

---

This record from Alexandria describes a relaxed FeSb crystal. The functional is PBE.

Cell lengths 11.0977, 11.0977, 3.2190 Å; angles 90.00, 90.00, 90.00 degrees
With the nearest neighbours (Å) after each atom.
Space group I4/m (No. 87)
Unique sites:
Fe (0.1722, 0.7278, 0.0000)  2 Fe 2.41, 4 Sb 2.54-2.60
Sb (0.0566, 0.2617, 0.0000)  4 Fe 2.54-2.60

Results
Crystal system: tetragonal
E_form (uncorrected) in eV per atom: 0.36

---

Number 1: total energy -4.482 eV/atom, V 19.749 A^3/atom. Number 2: total energy -2.434 eV/atom, V 60.058 A^3/atom. Number 3: total energy -6.358 eV/atom, V 13.113 A^3/atom. Number 4: total energy -5.933 eV/atom, V 24.778 A^3/atom.